Entry 1:
Density functional theory data (PBE) for Ho5ZnIn2 after structural relaxation.

Geometry as CIF:
```
data_Ho5ZnIn2
_cell_length_a 6.873
_cell_length_b 6.873
_cell_length_c 6.604
_cell_angle_alpha 121.35
_cell_angle_beta 121.36
_cell_angle_gamma 89.98
_space_group_name_H-M_alt 'P 1'
_space_group_IT_number 1
_space_group_name_Hall 'P 1'
loop_
_atom_site_label
_atom_site_fract_x
_atom_site_fract_y
_atom_site_fract_z
Ho1 0.722 0.222 0.944
Ho2 0.222 0.222 0.944
Ho3 0.722 0.722 0.944
Ho4 0.222 0.722 0.944
Ho5 0.722 0.722 0.444
Zn1 0.222 0.222 0.445
In1 0.222 0.722 0.444
In2 0.722 0.222 0.444
```

Results
DOS(E_F), states/eV/cell: 8.9
Calculated total energy, eV/cell: -31.69
Space-group type: I4/mmm


Entry 2:
Density functional theory data (PBE) for Nd8Cu2Os after structural relaxation.

Geometry as CIF:
```
data_Nd8Cu2Os
_cell_length_a 6.477
_cell_length_b 7.846
_cell_length_c 7.846
_cell_angle_alpha 110.99
_cell_angle_beta 104.13
_cell_angle_gamma 104.13
_space_group_name_H-M_alt 'P 1'
_space_group_IT_number 1
_space_group_name_Hall 'P 1'
loop_
_atom_site_label
_atom_site_fract_x
_atom_site_fract_y
_atom_site_fract_z
Os1 0.238 0.997 0.997
Nd1 0.610 0.363 0.096
Nd2 0.610 0.096 0.363
Nd3 0.209 0.367 0.367
Nd4 0.939 0.147 0.839
Nd5 0.939 0.839 0.147
Nd6 0.790 0.636 0.636
Nd7 0.308 0.914 0.625
Nd8 0.308 0.625 0.914
Cu1 0.524 0.713 0.337
Cu2 0.524 0.337 0.713
```

Results
Polymorph energy (0 for the lowest one), meV/atom: 87.1
DOS(E_F), states/eV/cell: 14.3
Calculated total energy, eV/cell: -57.15
Space-group type: Cm


Entry 3:
Density functional theory data (PBE) for HoZn9Pd2 after structural relaxation.

Geometry as CIF:
```
data_HoZn9Pd2
_cell_length_a 2.985
_cell_length_b 8.704
_cell_length_c 8.704
_cell_angle_alpha 120.00
_cell_angle_beta 90.00
_cell_angle_gamma 90.00
_space_group_name_H-M_alt 'P 1'
_space_group_IT_number 1
_space_group_name_Hall 'P 1'
loop_
_atom_site_label
_atom_site_fract_x
_atom_site_fract_y
_atom_site_fract_z
Ho1 0.000 0.000 0.000
Zn1 0.500 0.817 0.183
Zn2 0.000 0.000 0.500
Zn3 0.000 0.500 0.500
Zn4 0.500 0.817 0.635
Zn5 0.500 0.183 0.817
Zn6 0.500 0.635 0.817
Zn7 0.500 0.183 0.365
Zn8 0.000 0.500 0.000
Zn9 0.500 0.365 0.183
Pd1 0.000 0.667 0.333
Pd2 0.000 0.333 0.667
```

Results
Polymorph energy (0 for the lowest one), meV/atom: 63.1
DOS(E_F), states/eV/cell: 4.7
Calculated total energy, eV/cell: -29.76
Space-group type: P6/mmm


Entry 4:
Density functional theory data (PBE) for Cd6CuAu5 after structural relaxation.

Geometry as CIF:
```
data_Cd6CuAu5
_cell_length_a 4.406
_cell_length_b 8.108
_cell_length_c 6.778
_cell_angle_alpha 90.00
_cell_angle_beta 71.03
_cell_angle_gamma 90.00
_space_group_name_H-M_alt 'P 1'
_space_group_IT_number 1
_space_group_name_Hall 'P 1'
loop_
_atom_site_label
_atom_site_fract_x
_atom_site_fract_y
_atom_site_fract_z
Au1 0.671 0.500 0.658
Au2 0.345 0.000 0.311
Au3 0.000 0.500 0.000
Au4 0.655 0.000 0.689
Au5 0.329 0.500 0.342
Cu1 0.000 0.000 0.000
Cd1 0.835 0.759 0.330
Cd2 0.835 0.241 0.330
Cd3 0.500 0.255 0.000
Cd4 0.500 0.745 0.000
Cd5 0.165 0.759 0.670
Cd6 0.165 0.241 0.670
```

Results
DOS(E_F), states/eV/cell: 2.2
Calculated total energy, eV/cell: -27.50
Space-group type: Cmmm


Entry 5:
Density functional theory data (PBE) for KCuH3 after structural relaxation.

Geometry as CIF:
```
data_KCuH3
_cell_length_a 3.494
_cell_length_b 7.394
_cell_length_c 9.858
_cell_angle_alpha 90.00
_cell_angle_beta 90.00
_cell_angle_gamma 90.00
_space_group_name_H-M_alt 'P 1'
_space_group_IT_number 1
_space_group_name_Hall 'P 1'
loop_
_atom_site_label
_atom_site_fract_x
_atom_site_fract_y
_atom_site_fract_z
K1 0.500 0.070 0.827
K2 0.500 0.930 0.173
K3 0.500 0.570 0.673
K4 0.500 0.430 0.327
Cu1 0.000 0.846 0.459
Cu2 0.000 0.154 0.541
Cu3 0.000 0.346 0.041
Cu4 0.000 0.654 0.959
H1 0.000 0.957 0.622
H2 0.000 0.043 0.378
H3 0.000 0.457 0.878
H4 0.000 0.543 0.122
H5 0.000 0.362 0.537
H6 0.000 0.638 0.463
H7 0.000 0.862 0.963
H8 0.000 0.138 0.037
H9 0.500 0.826 0.445
H10 0.500 0.174 0.555
H11 0.500 0.326 0.055
H12 0.500 0.674 0.945
```

Results
Polymorph energy (0 for the lowest one), meV/atom: 32.0
DOS(E_F), states/eV/cell: 2.4
Calculated total energy, eV/cell: -61.03
Space-group type: Pbam


Entry 6:
Density functional theory data (PBE) for NpNiGe2Ir after structural relaxation.

Geometry as CIF:
```
data_NpNiGe2Ir
_cell_length_a 4.036
_cell_length_b 4.036
_cell_length_c 6.001
_cell_angle_alpha 109.65
_cell_angle_beta 109.65
_cell_angle_gamma 90.00
_space_group_name_H-M_alt 'P 1'
_space_group_IT_number 1
_space_group_name_Hall 'P 1'
loop_
_atom_site_label
_atom_site_fract_x
_atom_site_fract_y
_atom_site_fract_z
Np1 0.000 0.000 0.000
Ni1 0.250 0.750 0.500
Ge1 0.620 0.620 0.240
Ge2 0.380 0.380 0.760
Ir1 0.750 0.250 0.500
```

Results
DOS(E_F), states/eV/cell: 10.2
Calculated total energy, eV/cell: -38.58
Space-group type: I-4m2


Entry 7:
Density functional theory data (PBE) for Pa3As5Pd12 after structural relaxation.

Geometry as CIF:
```
data_Pa3As5Pd12
_cell_length_a 13.097
_cell_length_b 13.097
_cell_length_c 13.097
_cell_angle_alpha 109.47
_cell_angle_beta 109.47
_cell_angle_gamma 109.47
_space_group_name_H-M_alt 'P 1'
_space_group_IT_number 1
_space_group_name_Hall 'P 1'
loop_
_atom_site_label
_atom_site_fract_x
_atom_site_fract_y
_atom_site_fract_z
Pa1 0.750 0.375 0.125
Pa2 0.875 0.750 0.125
Pa3 0.375 0.750 0.625
Pa4 0.250 0.125 0.375
Pa5 0.875 0.125 0.250
Pa6 0.375 0.625 0.250
Pa7 0.625 0.375 0.750
Pa8 0.125 0.875 0.750
Pa9 0.750 0.875 0.625
Pa10 0.625 0.250 0.375
Pa11 0.125 0.250 0.875
Pa12 0.250 0.625 0.875
As1 0.125 0.375 0.250
As2 0.000 0.500 0.000
As3 0.000 0.000 0.000
As4 0.375 0.250 0.125
As5 0.500 0.000 0.500
As6 0.500 0.500 0.000
As7 0.125 0.750 0.375
As8 0.750 0.125 0.875
As9 0.750 0.625 0.375
As10 0.375 0.125 0.750
As11 0.625 0.875 0.250
As12 0.500 0.500 0.500
As13 0.500 0.000 0.000
As14 0.000 0.000 0.500
As15 0.250 0.375 0.625
As16 0.250 0.875 0.125
As17 0.000 0.500 0.500
As18 0.875 0.250 0.625
As19 0.625 0.750 0.875
As20 0.875 0.625 0.750
Pd1 0.716 0.129 0.054
Pd2 0.338 0.554 0.425
Pd3 0.946 0.371 0.284
Pd4 0.554 0.216 0.129
Pd5 0.587 0.716 0.662
Pd6 0.946 0.575 0.162
Pd7 0.338 0.784 0.413
Pd8 0.075 0.913 0.129
Pd9 0.575 0.946 0.662
Pd10 0.716 0.587 0.162
Pd11 0.784 0.446 0.371
Pd12 0.838 0.925 0.054
Pd13 0.129 0.716 0.554
Pd14 0.371 0.425 0.087
Pd15 0.087 0.925 0.371
Pd16 0.413 0.129 0.575
Pd17 0.087 0.162 0.216
Pd18 0.446 0.662 0.075
Pd19 0.838 0.913 0.284
Pd20 0.129 0.413 0.075
Pd21 0.371 0.946 0.784
Pd22 0.575 0.629 0.413
Pd23 0.925 0.838 0.554
Pd24 0.784 0.338 0.913
Pd25 0.425 0.371 0.587
Pd26 0.075 0.162 0.446
Pd27 0.216 0.662 0.087
Pd28 0.162 0.087 0.716
Pd29 0.629 0.054 0.216
Pd30 0.871 0.587 0.925
Pd31 0.554 0.338 0.925
Pd32 0.587 0.871 0.425
Pd33 0.913 0.838 0.784
Pd34 0.913 0.075 0.629
Pd35 0.871 0.284 0.446
Pd36 0.162 0.075 0.946
Pd37 0.629 0.575 0.913
Pd38 0.425 0.054 0.338
Pd39 0.284 0.413 0.838
Pd40 0.216 0.554 0.629
Pd41 0.925 0.087 0.871
Pd42 0.662 0.216 0.587
Pd43 0.446 0.784 0.871
Pd44 0.054 0.425 0.838
Pd45 0.413 0.284 0.338
Pd46 0.054 0.629 0.716
Pd47 0.662 0.446 0.575
Pd48 0.284 0.871 0.946
```

Results
DOS(E_F), states/eV/cell: 50.3
Calculated total energy, eV/cell: -478.18
Space-group type: Ia-3d


Entry 8:
Density functional theory data (PBE) for Ac5La4Nd2 after structural relaxation.

Geometry as CIF:
```
data_Ac5La4Nd2
_cell_length_a 3.781
_cell_length_b 10.077
_cell_length_c 13.159
_cell_angle_alpha 112.51
_cell_angle_beta 98.26
_cell_angle_gamma 90.00
_space_group_name_H-M_alt 'P 1'
_space_group_IT_number 1
_space_group_name_Hall 'P 1'
loop_
_atom_site_label
_atom_site_fract_x
_atom_site_fract_y
_atom_site_fract_z
Ac1 0.850 0.056 0.699
Ac2 0.850 0.644 0.699
Ac3 0.150 0.356 0.301
Ac4 0.150 0.944 0.301
Ac5 0.500 0.000 0.000
La1 0.000 0.302 0.000
La2 0.591 0.591 0.183
La3 0.000 0.698 0.000
La4 0.409 0.409 0.817
Nd1 0.274 0.274 0.548
Nd2 0.726 0.726 0.452
```

Results
Polymorph energy (0 for the lowest one), meV/atom: 40.9
DOS(E_F), states/eV/cell: 14.8
Calculated total energy, eV/cell: -47.89
Space-group type: Immm


Entry 9:
Density functional theory data (PBE) for La2TaSbRh after structural relaxation.

Geometry as CIF:
```
data_La2TaSbRh
_cell_length_a 5.908
_cell_length_b 5.033
_cell_length_c 5.908
_cell_angle_alpha 90.00
_cell_angle_beta 90.00
_cell_angle_gamma 90.00
_space_group_name_H-M_alt 'P 1'
_space_group_IT_number 1
_space_group_name_Hall 'P 1'
loop_
_atom_site_label
_atom_site_fract_x
_atom_site_fract_y
_atom_site_fract_z
Sb1 0.000 0.000 0.000
La1 0.000 0.000 0.500
La2 0.500 0.000 0.000
Rh1 0.500 0.500 0.500
Ta1 0.000 0.500 0.000
```

Results
DOS(E_F), states/eV/cell: 8.1
ΔE_f (raw), eV per atom: 0.93
Calculated total energy, eV/cell: -28.54
Space-group type: P4/mmm